# Tb4Y5Er3

A relaxed structure of Tb4Y5Er3 (PBE, Alexandria via LeMat-Bulk).

a = 16.101 Å, b = 5.863 Å, c = 9.251 Å
α = 90.00°, β = 116.49°, γ = 90.00°
Space group C2/m (No. 12)
Inequivalent atoms, fractional coordinates:
Tb1 0.082 0.000 0.442 [4 per cell]
Tb2 0.215 0.000 0.880 [4 per cell]
Y1 0.000 0.000 0.000 [2 per cell]
Y2 0.074 0.500 0.704 [4 per cell]
Y3 0.173 0.500 0.385 [4 per cell]
Er1 0.000 0.500 0.000 [2 per cell]
Er2 0.210 0.000 0.232 [4 per cell]

Results
Fermi-level density of states: 40.5 states/eV per cell
Total DFT energy (no corrections): -5.1401 eV/atom
ΔE_f: 0.2374 eV/atom